The following is a PBE with a Hubbard U calculation of a relaxed Mo2SeSF crystal, from Alexandria.

* uncorrected energy: -4.14 eV/atom

abc: 5.269 5.269 4.788
angles: 90.00 90.00 90.00
Positions (direct):
Mo 0.000 0.500 0.000
Mo 0.500 0.000 0.000
Se 0.000 0.000 0.000
S 0.000 0.000 0.500
F 0.500 0.500 0.500